An optimized crystal structure of ReW3O, computed with PBE with a Hubbard U.

Structure (extended XYZ):
```
5
Lattice="4.177 0.000 0.000 0.000 4.177 0.000 0.000 0.000 4.177" Properties=species:S:1:pos:R:3 pbc="T T T"
Re 0.000 0.000 0.000
W 0.000 2.089 2.089
W 2.089 0.000 2.089
W 2.089 2.089 0.000
O 2.089 2.089 2.089
```

## Properties
Calculated volume   72.9 Å³/f.u.
VASP energy   -35.78 eV per cell